1.
A relaxed structure of NbCdSb2. Source: Alexandria via LeMat-Bulk, functional PBE. Values from VASP.

The structure in Quantum ESPRESSO input format:
```
&SYSTEM
  ibrav = 0, nat = 4, ntyp = 3
/
ATOMIC_SPECIES
Sb 121.76 Sb.upf
Nb 92.91 Nb.upf
Cd 112.41 Cd.upf
CELL_PARAMETERS angstrom
-1.864 -1.631 2.416
1.524 -2.269 2.122
1.806 5.951 7.888
ATOMIC_POSITIONS crystal
Sb 0.099 0.099 0.703
Sb 0.901 0.901 0.297
Nb 0.500 0.500 0.500
Cd 0.000 0.000 0.000
```

Properties
Formation energy without anion corrections, eV/atom: -0.006
Space-group type: No. 166


2.
A relaxed structure of NbCdSb2. Source: Alexandria via LeMat-Bulk, functional PBE. Values from VASP.

The structure in Quantum ESPRESSO input format:
```
&SYSTEM
  ibrav = 0, nat = 8, ntyp = 3
/
ATOMIC_SPECIES
Sb 121.76 Sb.upf
Nb 92.91 Nb.upf
Cd 112.41 Cd.upf
CELL_PARAMETERS angstrom
-3.726 4.652 -2.733
-5.136 -2.043 3.526
-2.838 5.305 5.034
ATOMIC_POSITIONS crystal
Sb 0.602 0.125 0.250
Sb 0.148 0.625 0.250
Sb 0.375 0.398 0.750
Sb 0.875 0.852 0.750
Nb 0.500 0.500 0.000
Nb 0.250 0.750 0.500
Cd 0.000 0.000 0.000
Cd 0.750 0.250 0.500
```

Properties
Formation energy without anion corrections, eV/atom: 0.366
Space-group type: No. 122


3.
A relaxed structure of NbCdSb3. Source: Alexandria via LeMat-Bulk, functional PBE. Values from VASP.

The structure in Quantum ESPRESSO input format:
```
&SYSTEM
  ibrav = 0, nat = 5, ntyp = 3
/
ATOMIC_SPECIES
Sb 121.76 Sb.upf
Nb 92.91 Nb.upf
Cd 112.41 Cd.upf
CELL_PARAMETERS angstrom
5.380 0.000 0.000
0.000 5.380 0.000
0.000 0.000 5.380
ATOMIC_POSITIONS crystal
Sb 0.000 0.500 0.000
Sb 0.000 0.000 0.500
Sb 0.500 0.000 0.000
Nb 0.000 0.000 0.000
Cd 0.500 0.500 0.500
```

Properties
Energy above the most stable polymorph in this dataset, kcal/mol of atoms: 0.00
Formation energy without anion corrections, eV/atom: 0.317
Space-group type: No. 221


4.
A relaxed structure of NbCdSb2Te. Source: Alexandria via LeMat-Bulk, functional PBE. Values from VASP.

The structure in Quantum ESPRESSO input format:
```
&SYSTEM
  ibrav = 0, nat = 5, ntyp = 4
/
ATOMIC_SPECIES
Sb 121.76 Sb.upf
Nb 92.91 Nb.upf
Te 127.60 Te.upf
Cd 112.41 Cd.upf
CELL_PARAMETERS angstrom
-1.450 -4.031 3.210
5.039 -0.413 1.758
-1.100 3.577 3.996
ATOMIC_POSITIONS crystal
Sb 0.000 0.500 0.000
Sb 0.500 0.000 0.000
Nb 0.500 0.500 0.500
Te 0.000 0.000 0.500
Cd 0.000 0.000 0.000
```

Properties
Energy above the most stable polymorph in this dataset, kcal/mol of atoms: 24.40
Formation energy without anion corrections, eV/atom: 1.324
Space-group type: No. 123


5.
A relaxed structure of NbCdSb2Te. Source: Alexandria via LeMat-Bulk, functional PBE. Values from VASP.

The structure in Quantum ESPRESSO input format:
```
&SYSTEM
  ibrav = 0, nat = 5, ntyp = 4
/
ATOMIC_SPECIES
Sb 121.76 Sb.upf
Nb 92.91 Nb.upf
Te 127.60 Te.upf
Cd 112.41 Cd.upf
CELL_PARAMETERS angstrom
-1.847 -3.250 -3.936
5.003 -0.322 -2.082
1.003 -4.296 3.076
ATOMIC_POSITIONS crystal
Sb 0.000 0.500 0.000
Sb 0.500 0.000 0.000
Nb 0.000 0.000 0.000
Te 0.000 0.000 0.500
Cd 0.500 0.500 0.500
```

Properties
Energy above the most stable polymorph in this dataset, kcal/mol of atoms: 0.00
Formation energy without anion corrections, eV/atom: 0.266
Space-group type: No. 123


6.
A relaxed structure of NbCdSb2W. Source: Alexandria via LeMat-Bulk, functional PBE. Values from VASP.

The structure in Quantum ESPRESSO input format:
```
&SYSTEM
  ibrav = 0, nat = 5, ntyp = 4
/
ATOMIC_SPECIES
Sb 121.76 Sb.upf
Nb 92.91 Nb.upf
W 183.84 W.upf
Cd 112.41 Cd.upf
CELL_PARAMETERS angstrom
5.175 0.000 0.000
0.000 5.304 0.000
0.000 0.000 5.175
ATOMIC_POSITIONS crystal
Sb 0.000 0.000 0.500
Sb 0.500 0.000 0.000
Nb 0.500 0.500 0.500
W 0.000 0.000 0.000
Cd 0.000 0.500 0.000
```

Properties
Formation energy without anion corrections, eV/atom: 1.251
Space-group type: No. 123